ReTcPb2 | GGA-PBE | relaxed

Summary:
size of the total moment = 0.01 μB/cell
distance to the lowest polymorph of the same formula = 699 meV/atom
E_tot = -6.533 eV/atom
formation energy from the elements = 1025 meV per atom
SG = P4/mmm, No. 123

The structure in extended XYZ format:
```
4
Lattice="-2.205 1.208 -4.042 -2.348 -4.140 0.044 -2.478 1.425 1.777" Properties=species:S:1:pos:R:3 pbc="T T T"
Pb 0.000 0.000 0.000
Pb -2.277 -1.466 -1.999
Re -2.342 1.316 -1.132
Tc -2.413 -1.358 0.911
```

HfTe2RuI | GGA-PBE | relaxed

Summary:
size of the total moment = 0.00 μB/cell
distance to the lowest polymorph of the same formula = 0 meV/atom
E_tot = -4.753 eV/atom
formation energy (no corrections) = 0.66 eV/atom
SG = P4/mmm, No. 123

The structure in extended XYZ format:
```
5
Lattice="5.179 0.000 0.000 0.000 5.179 0.000 0.000 0.000 5.193" Properties=species:S:1:pos:R:3 pbc="T T T"
I 0.000 0.000 2.597
Ru 0.000 0.000 0.000
Te 0.000 2.589 0.000
Te 2.589 0.000 0.000
Hf 2.589 2.589 2.597
```

Y2GaBRh6 | GGA-PBE | relaxed

Summary:
size of the total moment = 0.00 μB/cell
E_tot = -7.242 eV/atom
formation energy from the elements = -568 meV per atom
SG = Fm-3m, No. 225

The structure in extended XYZ format:
```
10
Lattice="-5.877 1.622 -1.148 -1.323 -0.516 6.040 -2.554 4.774 3.039" Properties=species:S:1:pos:R:3 pbc="T T T"
Y -6.016 3.474 2.168
Y -3.738 2.405 5.763
Ga 0.000 0.000 0.000
B -3.600 0.553 2.446
Rh -3.114 2.515 2.721
Rh -5.273 0.811 3.582
Rh -2.542 0.056 4.116
Rh -7.212 5.823 3.815
Rh -4.482 5.069 4.349
Rh -6.641 3.365 5.210
```